[1]
Ti2InGa2 (PBE-GGA, optimized geometry); Fermi-level density of states = 7.9 states/eV/cell; symmetry = P4/mbm (127); polymorph energy (0 for the lowest one) = 108 meV per atom
1.0
7.662 0.000 0.000
0.000 7.662 0.000
0.000 0.000 3.138
Ga Ti In
4 4 2
Direct
0.677 0.823 0.500 Ga
0.823 0.323 0.500 Ga
0.323 0.177 0.500 Ga
0.177 0.677 0.500 Ga
0.877 0.623 0.000 Ti
0.123 0.377 0.000 Ti
0.623 0.123 0.000 Ti
0.377 0.877 0.000 Ti
0.500 0.500 0.000 In
0.000 0.000 0.000 In

---

[2]
CeMgAlPt2 (PBE-GGA, optimized geometry); Fermi-level density of states = 7.7 states/eV/cell; symmetry = I-4m2 (119)
1.0
4.081 0.000 0.000
0.000 4.081 0.000
-2.040 -2.040 6.001
Mg Pt Al Ce
1 2 1 1
Direct
0.250 0.750 0.500 Mg
0.613 0.613 0.227 Pt
0.387 0.387 0.773 Pt
0.750 0.250 0.500 Al
0.000 0.000 0.000 Ce

---

[3]
P2PtPb (PBE-GGA, optimized geometry); Fermi-level density of states = 3.0 states/eV/cell; symmetry = F-43m (216)
1.0
-3.201 3.421 -0.680
-4.617 -1.044 0.007
-2.743 1.422 3.587
P Pb Pt
2 1 1
Direct
0.750 0.750 0.750 P
0.000 0.000 0.000 P
0.500 0.500 0.500 Pb
0.250 0.250 0.250 Pt

---

[4]
Zn2Cu4Ni3 (PBE-GGA, optimized geometry); Fermi-level density of states = 5.2 states/eV/cell; symmetry = C2/m (12)
1.0
3.619 0.000 0.000
1.809 3.893 1.118
0.000 0.355 7.695
Cu Ni Zn
4 3 2
Direct
0.666 0.668 0.889 Cu
0.997 0.005 0.662 Cu
0.003 0.995 0.338 Cu
0.334 0.332 0.111 Cu
0.000 0.000 0.000 Ni
0.665 0.670 0.555 Ni
0.335 0.330 0.445 Ni
0.668 0.664 0.226 Zn
0.332 0.336 0.774 Zn

---

Number 1: E_tot -25.310 eV per formula unit, magnetization 1.36 μB per cell, DFT formation energy -0.146 eV per atom. Number 2: E_tot -28.053 eV per formula unit, magnetization 0.86 μB per cell, DFT formation energy -0.940 eV per atom. Number 3: E_tot -18.353 eV per formula unit, magnetization 0.00 μB per cell, DFT formation energy 0.554 eV per atom. Number 4: E_tot -36.980 eV per formula unit, magnetization 0.00 μB per cell, DFT formation energy -0.078 eV per atom.